# 1
The following is a PBE calculation of crystalline TcSb2Au at its relaxed geometry, from Alexandria via LeMat-Bulk.

Summary:
* symmetry: Amm2, No. 38
* polymorph energy (0 for the lowest one): 0.20 eV/f.u.
* final energy: -21.3 eV/f.u.
* formation energy (no corrections): 15 kJ per mole of atoms

Lattice parameters (Å, degrees): 5.508 5.508 4.514 90.03 90.03 36.28
Sites, in units of the cell vectors:
Sb  0.263  0.263  0.375
Sb  0.979  0.979  0.875
Au  0.717  0.717  0.875
Tc  0.541  0.541  0.375

=====

# 2
The following is a PBE calculation of crystalline KLiMn2 at its relaxed geometry, from Alexandria via LeMat-Bulk.

Summary:
* symmetry: Pm, No. 6
* polymorph energy (0 for the lowest one): 0.00 eV/f.u.
* final energy: -18.7 eV/f.u.
* ΔH_f (0 K): 662 meV per atom

Lattice parameters (Å, degrees): 3.153 3.151 9.688 71.29 90.00 90.00
Sites, in units of the cell vectors:
Mn  0.000  0.982  0.015
Mn  0.500  0.323  0.176
K  0.000  0.527  0.480
Li  0.500  0.667  0.829

=====

# 3
The following is a PBE calculation of crystalline Dy6Te3AsPb2 at its relaxed geometry, from Alexandria via LeMat-Bulk.

Summary:
* symmetry: C2/m, No. 12
* final energy: -62.4 eV/f.u.
* formation energy (no corrections): -107 kJ per mole of atoms

Lattice parameters (Å, degrees): 4.352 8.746 9.747 102.96 102.90 90.00
Sites, in units of the cell vectors:
Te  0.833  0.166  0.665
Te  0.500  0.500  0.000
Te  0.167  0.834  0.335
Pb  0.166  0.331  0.333
Pb  0.834  0.669  0.667
Dy  0.343  0.917  0.685
Dy  0.002  0.229  0.004
Dy  0.657  0.083  0.315
Dy  0.998  0.771  0.996
Dy  0.668  0.577  0.335
Dy  0.332  0.423  0.665
As  0.500  0.000  0.000

=====

# 4
The following is a PBE calculation of crystalline PrSm2Dy6Er3 at its relaxed geometry, from Alexandria via LeMat-Bulk.

Summary:
* symmetry: C2/m, No. 12
* final energy: -55.3 eV/f.u.
* ΔH_f (0 K): 19 meV per atom

Lattice parameters (Å, degrees): 6.169 6.169 11.794 94.99 94.99 119.96
Sites, in units of the cell vectors:
Er  0.833  0.167  0.500
Er  0.500  0.500  0.500
Er  0.167  0.833  0.500
Dy  0.085  0.419  0.254
Dy  0.752  0.752  0.254
Dy  0.248  0.248  0.746
Dy  0.419  0.085  0.254
Dy  0.915  0.581  0.746
Dy  0.581  0.915  0.746
Pr  0.000  0.000  0.000
Sm  0.667  0.333  0.000
Sm  0.333  0.667  0.000

=====

# 5
The following is a PBE calculation of crystalline NaYTi at its relaxed geometry, from Alexandria via LeMat-Bulk.

Summary:
* symmetry: P3m1, No. 156
* polymorph energy (0 for the lowest one): 0.99 eV/f.u.
* final energy: -14.4 eV/f.u.
* ΔH_f (0 K): 439 meV per atom

Lattice parameters (Å, degrees): 5.099 5.099 6.963 90.00 90.00 120.00
Sites, in units of the cell vectors:
Na  0.000  0.000  0.066
Na  0.667  0.333  0.055
Ti  0.000  0.000  0.524
Ti  0.333  0.667  0.347
Y  0.333  0.667  0.765
Y  0.667  0.333  0.526

=====

# 6
The following is a PBE calculation of crystalline YNb2Os2 at its relaxed geometry, from Alexandria via LeMat-Bulk.

Summary:
* symmetry: I4/mmm, No. 139
* polymorph energy (0 for the lowest one): 0.00 eV/f.u.
* final energy: -50.3 eV/f.u.
* ΔH_f (0 K): -246 meV per atom

Lattice parameters (Å, degrees): 4.402 4.402 6.171 69.10 69.10 90.00
Sites, in units of the cell vectors:
Os  0.618  0.618  0.764
Os  0.382  0.382  0.236
Nb  0.250  0.750  0.500
Nb  0.750  0.250  0.500
Y  0.000  0.000  0.000

=====

# 7
The following is a PBE calculation of crystalline TbNd4Er3 at its relaxed geometry, from Alexandria via LeMat-Bulk.

Summary:
* symmetry: Pmmn, No. 59
* final energy: -37.2 eV/f.u.
* ΔH_f (0 K): 27 meV per atom

Lattice parameters (Å, degrees): 5.099 10.160 10.197 90.00 90.00 90.00
Sites, in units of the cell vectors:
Nd  0.064  0.129  0.250
Nd  0.564  0.129  0.000
Nd  0.064  0.870  0.000
Nd  0.064  0.871  0.500
Nd  0.064  0.129  0.750
Nd  0.564  0.871  0.750
Nd  0.564  0.871  0.250
Nd  0.564  0.130  0.500
Er  0.564  0.380  0.250
Er  0.064  0.620  0.750
Er  0.064  0.620  0.250
Er  0.564  0.620  0.000
Er  0.564  0.380  0.750
Er  0.064  0.380  0.500
Tb  0.564  0.620  0.500
Tb  0.064  0.380  0.000

=====

# 8
The following is a PBE calculation of crystalline SrZn3In at its relaxed geometry, from Alexandria via LeMat-Bulk.

Summary:
* symmetry: Pm-3m, No. 221
* polymorph energy (0 for the lowest one): 5.08 eV/f.u.
* final energy: -4.3 eV/f.u.
* ΔH_f (0 K): 781 meV per atom

Lattice parameters (Å, degrees): 5.922 5.922 5.922 90.00 90.00 90.00
Sites, in units of the cell vectors:
Zn  0.000  0.500  0.000
Zn  0.500  0.000  0.000
Zn  0.000  0.000  0.500
In  0.500  0.500  0.500
Sr  0.000  0.000  0.000